No. 1
# Al2Re

A PBEsol-optimized structure of Al2Re (meta-GGA SCAN, Alexandria).

Summary:
Final energy = -350.46 eV per cell

Unit cell a=5.093 b=4.147 c=8.105 alpha=90.00 beta=90.00 gamma=90.00
Space group Pnma (No. 62)
Inequivalent atoms, fractional coordinates:
Al1 0.138 0.250 0.196 x4
Al2 0.147 0.250 0.540 x4
Re1 0.149 0.250 0.870 x4

***

No. 2
# Al7Re

A PBEsol-optimized structure of Al7Re (meta-GGA SCAN, Alexandria).

Summary:
Final energy = -503.34 eV per cell

Unit cell a=7.847 b=7.847 c=7.847 alpha=90.00 beta=90.00 gamma=90.00
Space group Fm-3m (No. 225)
Inequivalent atoms, fractional coordinates:
Al1 0.000 0.000 0.000 x4
Al2 0.000 0.250 0.250 x24
Re1 0.000 0.000 0.500 x4

***

No. 3
# Al4Re3

A PBEsol-optimized structure of Al4Re3 (meta-GGA SCAN, Alexandria).

Summary:
Final energy = -493.92 eV per cell

Unit cell a=3.134 b=3.134 c=20.186 alpha=90.00 beta=90.00 gamma=90.00
Space group I4/mmm (No. 139)
Inequivalent atoms, fractional coordinates:
Al1 0.000 0.000 0.067 x4
Al2 0.000 0.000 0.360 x4
Re1 0.000 0.000 0.213 x4
Re2 0.000 0.000 0.500 x2

***

No. 4
# Al5Re24

A PBEsol-optimized structure of Al5Re24 (meta-GGA SCAN, Alexandria).

Summary:
Final energy = -3500.18 eV per cell

Unit cell a=9.530 b=9.530 c=9.530 alpha=90.00 beta=90.00 gamma=90.00
Space group I-43m (No. 217)
Inequivalent atoms, fractional coordinates:
Al1 0.000 0.000 0.000 x2
Al2 0.176 0.176 0.824 x8
Re1 0.041 0.359 0.359 x24
Re2 0.092 0.092 0.284 x24

***

For the records above, the corresponding energy relative to the elements values read -338 -59 -380 -172 meV per atom.